[1]
Below is a relaxed structure of Pu3SbH2, with properties calculated at the PBE level.

Cell: 6.714 4.540 7.621 Å, 90.00 112.02 90.00°
Element x y z (fractional)
Pu 0.033 0.250 0.310
Pu 0.269 0.250 0.858
Pu 0.419 0.750 0.606
Pu 0.581 0.250 0.394
Pu 0.731 0.750 0.142
Pu 0.967 0.750 0.690
Sb 0.248 0.750 0.141
Sb 0.752 0.250 0.859
H 0.039 0.750 0.420
H 0.333 0.250 0.573
H 0.667 0.750 0.427
H 0.961 0.250 0.580

Calculated values
Crystal system: monoclinic
Size of the total moment: 11.008 Bohr magnetons per cell
N(E_F): 3.3552 states/eV per atom
Relative energy among the computed polymorphs: 0 meV per atom
Symmetry: No. 11

[2]
Below is a relaxed structure of Pu4Sb2H, with properties calculated at the PBE level.

Cell: 8.981 8.981 8.981 Å, 150.52 150.52 42.18°
Element x y z (fractional)
Pu 0.000 0.500 0.500
Pu 0.171 0.171 0.000
Pu 0.500 0.000 0.500
Pu 0.829 0.829 0.000
Sb 0.360 0.360 0.000
Sb 0.640 0.640 0.000
H 0.000 0.000 0.000

Calculated values
Crystal system: tetragonal
Size of the total moment: 24.536 Bohr magnetons per cell
N(E_F): 4.4518 states/eV per atom
Symmetry: No. 139
Final energy: -10.34 eV per atom